A plane-wave DFT calculation with GGA-PBE was carried out for InOsSeO2 after structural relaxation.

For the uncorrected formation energy, the calculation gives 67 kJ per mole of atoms.

abc: 3.872 3.872 6.415
angles: 90.00 90.00 90.00
Fractional positions:
In: 0.000 0.000 0.000
Os: 0.000 0.000 0.500
Se: 0.500 0.500 0.500
O: 0.000 0.500 0.000
O: 0.500 0.000 0.000

---

A plane-wave DFT calculation with GGA-PBE was carried out for MgZrPb2 after structural relaxation.

For the formation energy, the calculation gives 0.1 eV/f.u.

abc: 3.262 5.142 6.078
angles: 90.00 91.12 90.00
Fractional positions:
Mg: 0.000 0.000 0.000
Zr: 0.500 0.000 0.500
Pb: 0.161 0.500 0.742
Pb: 0.839 0.500 0.258

---

A plane-wave DFT calculation with GGA-PBE was carried out for FeAgSb2 after structural relaxation.

The distance to the lowest polymorph of the same formula is 0.088 eV per atom. For the uncorrected formation energy, the calculation gives 24 kJ per mole of atoms.

abc: 4.365 4.365 6.226
angles: 102.58 102.58 47.22
Fractional positions:
Fe: 0.000 0.000 0.000
Ag: 0.500 0.500 0.500
Sb: 0.267 0.267 0.793
Sb: 0.733 0.733 0.207

---

A plane-wave DFT calculation with GGA-PBE was carried out for Er4Cd5Au6 after structural relaxation.

For the formation energy, the calculation gives -8.4 eV/f.u.

abc: 11.693 11.693 15.111
angles: 90.00 90.00 160.87
Fractional positions:
Er: 0.018 0.982 0.500
Er: 0.051 0.949 0.773
Er: 0.134 0.866 0.275
Er: 0.179 0.821 0.933
Er: 0.821 0.179 0.433
Er: 0.866 0.134 0.775
Er: 0.949 0.051 0.273
Er: 0.982 0.018 0.000
Cd: 0.178 0.822 0.611
Cd: 0.306 0.694 0.608
Cd: 0.327 0.673 0.265
Cd: 0.360 0.640 0.956
Cd: 0.464 0.536 0.661
Cd: 0.536 0.464 0.161
Cd: 0.640 0.360 0.456
Cd: 0.673 0.327 0.765
Cd: 0.694 0.306 0.108
Cd: 0.822 0.178 0.111
Au: 0.102 0.898 0.080
Au: 0.229 0.771 0.437
Au: 0.269 0.731 0.786
Au: 0.417 0.583 0.123
Au: 0.422 0.578 0.420
Au: 0.460 0.540 0.848
Au: 0.540 0.460 0.348
Au: 0.578 0.422 0.920
Au: 0.583 0.417 0.623
Au: 0.731 0.269 0.286
Au: 0.771 0.229 0.937
Au: 0.898 0.102 0.580

---

A plane-wave DFT calculation with GGA-PBE was carried out for Ce3InAg2 after structural relaxation.

For the formation energy, the calculation gives 1.1 eV/f.u.

abc: 3.006 3.006 16.087
angles: 90.00 90.00 90.00
Fractional positions:
Ce: 0.000 0.000 0.000
Ce: 0.000 0.000 0.168
Ce: 0.000 0.000 0.832
In: 0.500 0.500 0.500
Ag: 0.500 0.500 0.324
Ag: 0.500 0.500 0.676

---

A plane-wave DFT calculation with GGA-PBE was carried out for Cu2H4Pd3 after structural relaxation.

The distance to the lowest polymorph of the same formula is 0.000 eV per atom.

abc: 5.019 5.019 6.997
angles: 120.69 120.69 33.07
Fractional positions:
Cu: 0.113 0.113 0.397
Cu: 0.887 0.887 0.603
H: 0.085 0.085 0.874
H: 0.269 0.269 0.706
H: 0.731 0.731 0.294
H: 0.915 0.915 0.126
Pd: 0.330 0.330 0.237
Pd: 0.500 0.500 0.000
Pd: 0.670 0.670 0.763

---

A plane-wave DFT calculation with GGA-PBE was carried out for PmDy2Y2Ho2 after structural relaxation.

For the formation energy, the calculation gives 0.1 eV/f.u.

abc: 6.167 6.167 7.964
angles: 97.45 97.45 48.18
Fractional positions:
Pm: 0.000 0.000 0.000
Dy: 0.285 0.285 0.857
Dy: 0.715 0.715 0.143
Y: 0.143 0.143 0.429
Y: 0.857 0.857 0.571
Ho: 0.429 0.429 0.286
Ho: 0.571 0.571 0.714

---

A plane-wave DFT calculation with GGA-PBE was carried out for BaSrLiGe after structural relaxation.

The distance to the lowest polymorph of the same formula is 0.000 eV per atom. For the formation energy, the calculation gives -1.5 eV/f.u.

abc: 8.415 8.415 8.415
angles: 32.48 32.48 32.48
Fractional positions:
Ba: 0.000 0.000 0.000
Sr: 0.166 0.166 0.166
Li: 0.422 0.422 0.422
Ge: 0.755 0.755 0.755

---

A plane-wave DFT calculation with GGA-PBE was carried out for Zr2Cd2Pd5 after structural relaxation.

For the formation energy, the calculation gives -3.9 eV/f.u.

abc: 8.664 8.664 8.664
angles: 78.83 146.08 111.34
Fractional positions:
Zr: 0.000 0.000 0.000
Zr: 0.000 0.500 0.500
Zr: 0.068 0.068 0.499
Zr: 0.569 0.568 0.501
Cd: 0.556 0.696 0.133
Cd: 0.556 0.923 0.360
Cd: 0.563 0.196 0.640
Cd: 0.563 0.423 0.867
Pd: 0.037 0.213 0.719
Pd: 0.037 0.817 0.324
Pd: 0.054 0.467 0.880
Pd: 0.054 0.674 0.087
Pd: 0.066 0.318 0.247
Pd: 0.071 0.818 0.753
Pd: 0.494 0.317 0.281
Pd: 0.494 0.713 0.676
Pd: 0.587 0.174 0.120
Pd: 0.587 0.967 0.913

---

A plane-wave DFT calculation with GGA-PBE was carried out for TlAu after structural relaxation.

For the formation energy, the calculation gives 0.1 eV/f.u.

abc: 3.914 3.914 3.915
angles: 90.00 90.00 120.00
Fractional positions:
Tl: 0.000 0.000 0.000
Au: 0.333 0.667 0.500

---

A plane-wave DFT calculation with GGA-PBE was carried out for Pm3SmP after structural relaxation.

For the formation energy, the calculation gives -2.0 eV/f.u.

abc: 5.551 5.551 5.551
angles: 90.00 90.00 90.00
Fractional positions:
Pm: 0.000 0.000 0.500
Pm: 0.000 0.500 0.000
Pm: 0.500 0.000 0.000
Sm: 0.500 0.500 0.500
P: 0.000 0.000 0.000

---

A plane-wave DFT calculation with GGA-PBE was carried out for CuHgTe2 after structural relaxation.

For the uncorrected formation energy, the calculation gives 6 kJ per mole of atoms.

abc: 4.511 4.511 8.837
angles: 114.27 114.27 42.56
Fractional positions:
Cu: 0.000 0.000 0.000
Hg: 0.539 0.539 0.264
Te: 0.228 0.228 0.878
Te: 0.375 0.375 0.487

---

A plane-wave DFT calculation with GGA-PBE was carried out for Rb3AgN after structural relaxation.

The distance to the lowest polymorph of the same formula is 0.000 eV per atom. For the uncorrected formation energy, the calculation gives 42 kJ per mole of atoms.

abc: 5.810 5.810 5.810
angles: 90.00 90.00 90.00
Fractional positions:
Rb: 0.000 0.000 0.500
Rb: 0.000 0.500 0.000
Rb: 0.500 0.000 0.000
Ag: 0.500 0.500 0.500
N: 0.000 0.000 0.000

---

A plane-wave DFT calculation with GGA-PBE was carried out for VInCoRh after structural relaxation.

For the formation energy, the calculation gives -0.5 eV/f.u.

abc: 4.361 4.361 4.361
angles: 60.00 60.00 60.00
Fractional positions:
V: 0.000 0.000 0.000
In: 0.500 0.500 0.500
Co: 0.250 0.250 0.250
Rh: 0.750 0.750 0.750

---

A plane-wave DFT calculation with GGA-PBE was carried out for Pm3CuSi6Pd2 after structural relaxation.

For the uncorrected formation energy, the calculation gives -39 kJ per mole of atoms.

abc: 5.753 5.753 8.163
angles: 90.00 90.00 120.00
Fractional positions:
Pm: 0.000 0.000 0.000
Pm: 0.333 0.667 0.618
Pm: 0.667 0.333 0.382
Cu: 0.000 0.000 0.500
Si: 0.190 0.381 0.286
Si: 0.190 0.810 0.286
Si: 0.381 0.190 0.714
Si: 0.619 0.810 0.286
Si: 0.810 0.190 0.714
Si: 0.810 0.619 0.714
Pd: 0.333 0.667 0.034
Pd: 0.667 0.333 0.966

---

A plane-wave DFT calculation with GGA-PBE was carried out for Rb5Pt after structural relaxation.

The distance to the lowest polymorph of the same formula is 0.385 eV per atom. For the formation energy, the calculation gives 2.8 eV/f.u.

abc: 7.940 7.940 7.940
angles: 60.00 60.00 60.00
Fractional positions:
Rb: 0.000 0.000 0.000
Rb: 0.378 0.378 0.378
Rb: 0.378 0.378 0.867
Rb: 0.378 0.867 0.378
Rb: 0.867 0.378 0.378
Pt: 0.750 0.750 0.750

---

A plane-wave DFT calculation with GGA-PBE was carried out for Ce7In3Bi after structural relaxation.

For the formation energy, the calculation gives -2.1 eV/f.u.

abc: 8.215 8.215 8.215
angles: 136.37 110.88 85.40
Fractional positions:
Ce: 0.000 0.000 0.000
Ce: 0.110 0.758 0.351
Ce: 0.351 0.500 0.851
Ce: 0.407 0.758 0.649
Ce: 0.593 0.242 0.351
Ce: 0.649 0.500 0.149
Ce: 0.890 0.242 0.649
In: 0.261 0.261 0.000
In: 0.500 0.000 0.500
In: 0.739 0.739 0.000
Bi: 0.000 0.500 0.500

---

A plane-wave DFT calculation with GGA-PBE was carried out for Sm6In2Ru after structural relaxation.

The distance to the lowest polymorph of the same formula is 0.000 eV per atom. For the formation energy, the calculation gives -2.9 eV/f.u.

abc: 3.902 8.783 8.783
angles: 119.89 90.00 90.00
Fractional positions:
Sm: 0.000 0.000 0.000
Sm: 0.000 0.517 0.756
Sm: 0.000 0.756 0.517
Sm: 0.500 0.150 0.757
Sm: 0.500 0.363 0.363
Sm: 0.500 0.757 0.150
In: 0.000 0.090 0.424
In: 0.000 0.424 0.090
Ru: 0.500 0.761 0.761

---

A plane-wave DFT calculation with GGA-PBE was carried out for BaWSe2 after structural relaxation.

The distance to the lowest polymorph of the same formula is 0.347 eV per atom. For the uncorrected formation energy, the calculation gives -16 kJ per mole of atoms.

abc: 3.322 3.322 7.862
angles: 90.00 90.00 90.00
Fractional positions:
Ba: 0.000 0.000 0.000
W: 0.000 0.000 0.500
Se: 0.500 0.500 0.310
Se: 0.500 0.500 0.690

---

A plane-wave DFT calculation with GGA-PBE was carried out for TbErLu4 after structural relaxation.

For the formation energy, the calculation gives 1.7 eV/f.u.

abc: 6.456 6.456 6.456
angles: 60.00 60.00 60.00
Fractional positions:
Tb: 0.000 0.000 0.000
Er: 0.250 0.250 0.250
Lu: 0.125 0.625 0.625
Lu: 0.625 0.125 0.625
Lu: 0.625 0.625 0.125
Lu: 0.625 0.625 0.625

---

Number 1: magnetization 2.106 Bohr magnetons per cell. Number 2: magnetization 0.000 Bohr magnetons per cell. Number 3: magnetization 1.998 Bohr magnetons per cell. Number 4: magnetization 0.000 Bohr magnetons per cell. Number 5: magnetization 1.042 Bohr magnetons per cell. Number 6: magnetization 0.000 Bohr magnetons per cell. Number 7: magnetization 0.000 Bohr magnetons per cell. Number 8: magnetization 0.789 Bohr magnetons per cell. Number 9: magnetization 0.000 Bohr magnetons per cell. Number 10: magnetization 0.000 Bohr magnetons per cell. Number 11: magnetization 0.003 Bohr magnetons per cell. Number 12: magnetization 0.000 Bohr magnetons per cell. Number 13: magnetization 1.000 Bohr magnetons per cell. Number 14: magnetization 2.039 Bohr magnetons per cell. Number 15: magnetization 0.000 Bohr magnetons per cell. Number 16: magnetization 0.000 Bohr magnetons per cell. Number 17: magnetization 7.275 Bohr magnetons per cell. Number 18: magnetization 0.000 Bohr magnetons per cell. Number 19: magnetization 0.000 Bohr magnetons per cell. Number 20: magnetization 1.341 Bohr magnetons per cell.